# 1
The following is a GGA-PBE calculation of a geometry-optimized La9Tl2Ga structure, from Alexandria via LeMat-Bulk.

Summary:
ΔE_f   -0.251 eV/atom
Calculated total energy   -4.5927 eV per atom

Structure (CIF):
```
data_La9Tl2Ga
_chemical_formula_sum 'La9 Tl2 Ga1'
_cell_length_a 5.032
_cell_length_b 5.032
_cell_length_c 15.065
_cell_angle_alpha 90.00
_cell_angle_beta 90.00
_cell_angle_gamma 90.00
_symmetry_space_group_name_H-M 'P 1'
_symmetry_Int_Tables_number 1
loop_
_symmetry_equiv_pos_as_xyz
'x,y,z'
loop_
_atom_site_label
_atom_site_type_symbol
_atom_site_fract_x
_atom_site_fract_y
_atom_site_fract_z
La1 La 0.500 0.500 0.000
La2 La 0.500 0.500 0.329
La3 La 0.500 0.500 0.671
La4 La 0.500 0.000 0.159
La5 La 0.500 0.000 0.500
La6 La 0.500 0.000 0.841
La7 La 0.000 0.500 0.159
La8 La 0.000 0.500 0.500
La9 La 0.000 0.500 0.841
Tl1 Tl 0.000 0.000 0.331
Tl2 Tl 0.000 0.000 0.669
Ga1 Ga 0.000 0.000 0.000
```

---

# 2
The following is a GGA-PBE calculation of a geometry-optimized La6TlGa2 structure, from Alexandria via LeMat-Bulk.

Summary:
ΔE_f   -0.379 eV/atom
Energy relative to the lowest polymorph listed for this composition   0.0 meV per atom
Calculated total energy   -4.5995 eV per atom

Structure (CIF):
```
data_La6TlGa2
_chemical_formula_sum 'La6 Tl1 Ga2'
_cell_length_a 4.650
_cell_length_b 8.391
_cell_length_c 8.391
_cell_angle_alpha 120.00
_cell_angle_beta 90.00
_cell_angle_gamma 90.00
_symmetry_space_group_name_H-M 'P 1'
_symmetry_Int_Tables_number 1
loop_
_symmetry_equiv_pos_as_xyz
'x,y,z'
loop_
_atom_site_label
_atom_site_type_symbol
_atom_site_fract_x
_atom_site_fract_y
_atom_site_fract_z
La1 La 0.500 0.582 0.000
La2 La 0.500 0.418 0.418
La3 La 0.500 0.000 0.582
La4 La 0.000 0.282 0.000
La5 La 0.000 0.718 0.718
La6 La 0.000 0.000 0.282
Tl1 Tl 0.500 0.000 0.000
Ga1 Ga 0.000 0.333 0.667
Ga2 Ga 0.000 0.667 0.333
```

---

# 3
The following is a GGA-PBE calculation of a geometry-optimized La7TlGa2 structure, from Alexandria via LeMat-Bulk.

Summary:
ΔE_f   -0.226 eV/atom
Calculated total energy   -4.5176 eV per atom

Structure (CIF):
```
data_La7TlGa2
_chemical_formula_sum 'La7 Tl1 Ga2'
_cell_length_a 5.358
_cell_length_b 5.358
_cell_length_c 13.228
_cell_angle_alpha 90.00
_cell_angle_beta 90.00
_cell_angle_gamma 120.00
_symmetry_space_group_name_H-M 'P 1'
_symmetry_Int_Tables_number 1
loop_
_symmetry_equiv_pos_as_xyz
'x,y,z'
loop_
_atom_site_label
_atom_site_type_symbol
_atom_site_fract_x
_atom_site_fract_y
_atom_site_fract_z
La1 La 0.667 0.333 0.583
La2 La 0.667 0.333 0.856
La3 La 0.000 0.000 0.713
La4 La 0.000 0.000 0.289
La5 La 0.333 0.667 0.442
La6 La 0.333 0.667 0.943
La7 La 0.667 0.333 0.126
Tl1 Tl 0.000 0.000 0.014
Ga1 Ga 0.333 0.667 0.695
Ga2 Ga 0.667 0.333 0.355
```

---

# 4
The following is a GGA-PBE calculation of a geometry-optimized LaTl2Ga structure, from Alexandria via LeMat-Bulk.

Summary:
ΔE_f   -0.131 eV/atom
Energy relative to the lowest polymorph listed for this composition   237.6 meV per atom
Calculated total energy   -3.3030 eV per atom

Structure (CIF):
```
data_LaTl2Ga
_chemical_formula_sum 'La2 Tl4 Ga2'
_cell_length_a 4.684
_cell_length_b 4.684
_cell_length_c 12.044
_cell_angle_alpha 78.79
_cell_angle_beta 78.79
_cell_angle_gamma 90.00
_symmetry_space_group_name_H-M 'P 1'
_symmetry_Int_Tables_number 1
loop_
_symmetry_equiv_pos_as_xyz
'x,y,z'
loop_
_atom_site_label
_atom_site_type_symbol
_atom_site_fract_x
_atom_site_fract_y
_atom_site_fract_z
Tl1 Tl 0.604 0.125 0.250
Tl2 Tl 0.146 0.625 0.250
Tl3 Tl 0.375 0.396 0.750
Tl4 Tl 0.875 0.854 0.750
Ga1 Ga 0.500 0.500 0.000
Ga2 Ga 0.250 0.750 0.500
La1 La 0.000 0.000 0.000
La2 La 0.750 0.250 0.500
```

---

- Number 2 is which compound?
  La6TlGa2